Density functional theory data (GGA+U) for crystalline SrScV2O6 at its relaxed geometry.

```
SrScV2O6
1.0
2.635 1.521 5.996
-2.635 1.521 5.996
0.000 -3.043 5.996
Sr Sc V O
1 1 2 6
Direct
0.000 0.000 0.000
0.500 0.500 0.500
0.177 0.177 0.177
0.823 0.823 0.823
0.099 0.798 0.427
0.202 0.573 0.901
0.427 0.099 0.798
0.573 0.901 0.202
0.798 0.427 0.099
0.901 0.202 0.573
```

## Properties
**DOS at the Fermi energy**: 5.0 states/eV per cell
**Total DFT energy (no corrections)**: -0.576 Ry/atom